No. 1
DFT (PBE) results for a relaxed BaCaHgO2 crystal.

As for the space group: P4/mmm, No. 123. As for the uncorrected formation energy: -569 kJ/mol of formula units.

Cell: 4.702 5.276 4.702 Å, 90.00 90.00 90.00°
Positions (direct):
Ca1 0.000 0.000 0.000
Hg1 0.000 0.500 0.000
O1 0.000 0.000 0.500
O2 0.500 0.000 0.000
Ba1 0.500 0.500 0.500

---

No. 2
DFT (PBE) results for a relaxed Tb3Pm5In12 crystal.

As for the space group: Ia-3d, No. 230. The value obtained for the formation energy is 0.125 eV/atom.

Cell: 15.652 15.652 15.652 Å, 109.47 109.47 109.47°
Positions (direct):
Tb1 0.750 0.375 0.125
Tb2 0.875 0.750 0.125
Tb3 0.375 0.750 0.625
Tb4 0.250 0.125 0.375
Tb5 0.875 0.125 0.250
Tb6 0.375 0.625 0.250
Tb7 0.625 0.375 0.750
Tb8 0.125 0.875 0.750
Tb9 0.750 0.875 0.625
Tb10 0.625 0.250 0.375
Tb11 0.125 0.250 0.875
Tb12 0.250 0.625 0.875
Pm1 0.125 0.375 0.250
Pm2 0.000 0.500 0.000
Pm3 0.000 0.000 0.000
Pm4 0.375 0.250 0.125
Pm5 0.500 0.000 0.500
Pm6 0.500 0.500 0.000
Pm7 0.125 0.750 0.375
Pm8 0.750 0.125 0.875
Pm9 0.750 0.625 0.375
Pm10 0.375 0.125 0.750
Pm11 0.625 0.875 0.250
Pm12 0.500 0.500 0.500
Pm13 0.500 0.000 0.000
Pm14 0.000 0.000 0.500
Pm15 0.250 0.375 0.625
Pm16 0.250 0.875 0.125
Pm17 0.000 0.500 0.500
Pm18 0.875 0.250 0.625
Pm19 0.625 0.750 0.875
Pm20 0.875 0.625 0.750
In1 0.728 0.153 0.079
In2 0.351 0.579 0.426
In3 0.921 0.347 0.272
In4 0.579 0.228 0.153
In5 0.575 0.728 0.649
In6 0.921 0.574 0.149
In7 0.351 0.772 0.425
In8 0.074 0.925 0.153
In9 0.574 0.921 0.649
In10 0.728 0.575 0.149
In11 0.772 0.421 0.347
In12 0.851 0.926 0.079
In13 0.153 0.728 0.579
In14 0.347 0.426 0.075
In15 0.075 0.926 0.347
In16 0.425 0.153 0.574
In17 0.075 0.149 0.228
In18 0.421 0.649 0.074
In19 0.851 0.925 0.272
In20 0.153 0.425 0.074
In21 0.347 0.921 0.772
In22 0.574 0.653 0.425
In23 0.926 0.851 0.579
In24 0.772 0.351 0.925
In25 0.426 0.347 0.575
In26 0.074 0.149 0.421
In27 0.228 0.649 0.075
In28 0.149 0.075 0.728
In29 0.653 0.079 0.228
In30 0.847 0.575 0.926
In31 0.579 0.351 0.926
In32 0.575 0.847 0.426
In33 0.925 0.851 0.772
In34 0.925 0.074 0.653
In35 0.847 0.272 0.421
In36 0.149 0.074 0.921
In37 0.653 0.574 0.925
In38 0.426 0.079 0.351
In39 0.272 0.425 0.851
In40 0.228 0.579 0.653
In41 0.926 0.075 0.847
In42 0.649 0.228 0.575
In43 0.421 0.772 0.847
In44 0.079 0.426 0.851
In45 0.425 0.272 0.351
In46 0.079 0.653 0.728
In47 0.649 0.421 0.574
In48 0.272 0.847 0.921